A plane-wave DFT calculation with PBE-GGA was carried out for an optimized crystal structure of NaTe2Br6.

Cell: 10.2874 10.2874 8.3852 Å, 102.91 102.91 66.43°
Positions (direct):
Na1 0.0641 0.9359 0.7500
Na2 0.9359 0.0641 0.2500
Te1 0.0771 0.4144 0.6659
Te2 0.4144 0.0771 0.1659
Te3 0.5856 0.9229 0.8341
Te4 0.9229 0.5856 0.3341
Br1 0.0531 0.7881 0.4015
Br2 0.1893 0.6095 0.8023
Br3 0.2119 0.9469 0.0985
Br4 0.2551 0.2633 0.9660
Br5 0.2633 0.2551 0.4660
Br6 0.3905 0.8107 0.6977
Br7 0.6095 0.1893 0.3023
Br8 0.7367 0.7449 0.5340
Br9 0.7449 0.7367 0.0340
Br10 0.7881 0.0531 0.9015
Br11 0.8107 0.3905 0.1977
Br12 0.9469 0.2119 0.5985

Summary:
For the formation energy (no corrections), the calculation gives -0.4965 eV per atom. Its electronic total energy is -2.457 eV per atom. The total moment is 0.000 μB/f.u.